# 1
VASP calculation (PBE) on SiMoRu2 after structural relaxation.

Lattice parameters (Å, degrees): 8.4594 8.4594 8.4594 19.04 19.04 19.04
Atoms (fractional coordinates):
1 Mo 0.7500 0.7500 0.7500
2 Ru 0.9938 0.9938 0.9938
3 Ru 0.5062 0.5062 0.5062
4 Si 0.2500 0.2500 0.2500

Summary:
* formation energy without anion corrections: -0.112 eV per atom

# 2
VASP calculation (PBE) on KCaW after structural relaxation.

Lattice parameters (Å, degrees): 5.5036 5.5036 5.5036 60.00 60.00 60.00
Last column: magnetic moment on the atom in μB.
Atoms (fractional coordinates):
1 K 0.2500 0.2500 0.2500  0.06
2 Ca 0.5000 0.5000 0.5000  0.03
3 W 0.0000 0.0000 0.0000  3.13

Summary:
* formation energy: 2257.8 meV per atom
* E above lowest polymorph: 3.27 eV/f.u.

# 3
VASP calculation (PBE) on ThNb2Si2 after structural relaxation.

Lattice parameters (Å, degrees): 4.1135 4.1135 6.5067 108.43 108.43 90.00
Atoms (fractional coordinates):
1 Nb 0.2500 0.7500 0.5000
2 Nb 0.7500 0.2500 0.5000
3 Si 0.6044 0.6044 0.2088
4 Si 0.3956 0.3956 0.7912
5 Th 0.0000 0.0000 0.0000

Summary:
* formation energy without anion corrections: -0.679 eV per atom

# 4
VASP calculation (PBE) on PuCo12Si6 after structural relaxation.

Lattice parameters (Å, degrees): 6.4985 6.4985 6.4985 105.19 105.19 105.19
Last column: magnetic moment on the atom in μB.
Atoms (fractional coordinates):
1 Co 0.5601 0.5601 0.8206  0.83
2 Co 0.4399 0.1794 0.4399  0.83
3 Co 0.8206 0.5601 0.5601  0.83
4 Co 0.4399 0.4399 0.1794  0.83
5 Co 0.1291 0.8709 0.5000  0.22
6 Co 0.5601 0.8206 0.5601  0.83
7 Co 0.1794 0.4399 0.4399  0.83
8 Co 0.8709 0.5000 0.1291  0.22
9 Co 0.8709 0.1291 0.5000  0.22
10 Co 0.5000 0.8709 0.1291  0.22
11 Co 0.5000 0.1291 0.8709  0.22
12 Co 0.1291 0.5000 0.8709  0.22
13 Si 0.2425 0.6922 0.2425  -0.03
14 Si 0.2425 0.2425 0.6922  -0.03
15 Si 0.6922 0.2425 0.2425  -0.03
16 Si 0.7575 0.7575 0.3078  -0.03
17 Si 0.3078 0.7575 0.7575  -0.03
18 Si 0.7575 0.3078 0.7575  -0.03
19 Pu 0.0000 0.0000 0.0000  5.06

Summary:
* formation energy without anion corrections: -0.312 eV per atom

# 5
VASP calculation (PBE) on AsIrAuSe2 after structural relaxation.

Lattice parameters (Å, degrees): 5.0688 5.0688 4.6002 90.00 90.00 90.00
Atoms (fractional coordinates):
1 Au 0.5000 0.5000 0.5000
2 Se 0.0000 0.5000 0.0000
3 Se 0.5000 0.0000 0.0000
4 Ir 0.0000 0.0000 0.0000
5 As 0.0000 0.0000 0.5000

Summary:
* formation energy without anion corrections: 0.690 eV per atom
* E above lowest polymorph: 0.00 eV/f.u.

# 6
VASP calculation (PBE) on Tb5Dy3Ho after structural relaxation.

Lattice parameters (Å, degrees): 6.6700 8.6851 11.6177 73.48 90.00 112.58
Atoms (fractional coordinates):
1 Tb 0.4857 0.5671 0.2640
2 Tb 0.7624 0.6332 0.9506
3 Tb 0.2089 0.0000 0.7500
4 Tb 0.1292 0.3668 0.5494
5 Tb 0.7911 0.0000 0.2500
6 Tb 0.0814 0.5671 0.7640
7 Tb 0.5143 0.4329 0.7360
8 Tb 0.9186 0.4329 0.2360
9 Tb 0.8708 0.6332 0.4506
10 Tb 0.2376 0.3668 0.0494
11 Dy 0.5569 0.2140 0.4835
12 Dy 0.3429 0.7860 0.0165
13 Dy 0.4431 0.7860 0.5165
14 Dy 0.0000 0.0000 0.5000
15 Dy 0.0000 0.0000 0.0000
16 Dy 0.6571 0.2140 0.9835
17 Ho 0.7019 0.0000 0.7500
18 Ho 0.2981 0.0000 0.2500

Summary:
* formation energy: 217.9 meV per atom
* E above lowest polymorph: 0.00 eV/f.u.

# 7
VASP calculation (PBE) on Mg2FeSbN after structural relaxation.

Lattice parameters (Å, degrees): 4.4034 4.4034 4.0442 90.00 90.00 90.00
Last column: magnetic moment on the atom in μB.
Atoms (fractional coordinates):
1 N 0.0000 0.0000 0.0000  0.15
2 Mg 0.5000 0.0000 0.0000  0.00
3 Mg 0.0000 0.5000 0.0000  0.00
4 Fe 0.0000 0.0000 0.5000  2.84
5 Sb 0.5000 0.5000 0.5000  0.11

Summary:
* formation energy without anion corrections: -0.242 eV per atom

# 8
VASP calculation (PBE) on TbEr3In4Te8 after structural relaxation.

Lattice parameters (Å, degrees): 8.7912 9.5686 8.7921 117.36 120.00 90.00
Atoms (fractional coordinates):
1 Te 0.7388 0.7164 0.4776
2 Te 0.7593 0.2819 0.5186
3 Te 0.2612 0.2836 0.5224
4 Te 0.2407 0.7181 0.9774
5 Te 0.7367 0.7181 0.9774
6 Te 0.7593 0.2819 0.0226
7 Te 0.2633 0.2819 0.0226
8 Te 0.2407 0.7181 0.4814
9 In 0.5000 0.0000 0.0000
10 In 0.0000 0.0000 0.0000
11 In 0.5000 0.0000 0.5000
12 In 0.0000 0.0000 0.5000
13 Er 0.0000 0.5000 0.5000
14 Er 0.5000 0.5000 0.5000
15 Er 0.5000 0.5000 0.0000
16 Tb 0.0000 0.5000 0.0000

Summary:
* formation energy without anion corrections: -0.959 eV per atom

# 9
VASP calculation (PBE) on CsIn2Br4 after structural relaxation.

Lattice parameters (Å, degrees): 6.6938 6.6938 9.0826 68.38 68.38 90.00
Atoms (fractional coordinates):
1 Br 0.2384 0.2384 0.5232
2 Br 0.5000 0.0000 0.0000
3 Br 0.7616 0.7616 0.4768
4 Br 0.0000 0.5000 0.0000
5 Cs 0.0000 0.0000 0.0000
6 In 0.5952 0.5952 0.8096
7 In 0.4048 0.4048 0.1904

Summary:
* formation energy without anion corrections: -0.768 eV per atom
* E above lowest polymorph: 1.73 eV/f.u.

# 10
VASP calculation (PBE) on PmZn5Cu2 after structural relaxation.

Lattice parameters (Å, degrees): 3.9410 6.2866 6.2866 69.77 71.73 71.73
Atoms (fractional coordinates):
1 Pm 0.0000 0.0000 0.0000
2 Zn 0.0000 0.5000 0.5000
3 Zn 0.6466 0.1659 0.5410
4 Zn 0.6466 0.5410 0.1659
5 Zn 0.3534 0.8341 0.4590
6 Zn 0.3534 0.4590 0.8341
7 Cu 0.7462 0.7538 0.7538
8 Cu 0.2538 0.2462 0.2462

Summary:
* formation energy: -213.0 meV per atom

# 11
VASP calculation (PBE) on Li2AlW after structural relaxation.

Lattice parameters (Å, degrees): 5.3379 5.3379 4.7284 74.80 74.80 28.72
Atoms (fractional coordinates):
1 Li 0.9889 0.9889 0.9966
2 Li 0.5111 0.5111 0.5034
3 Al 0.2500 0.2500 0.2500
4 W 0.7500 0.7500 0.7500

Summary:
* formation energy: 205.1 meV per atom

# 12
VASP calculation (PBE) on TcHRu2Rh after structural relaxation.

Lattice parameters (Å, degrees): 3.8801 3.8801 3.8981 90.00 90.00 90.00
Atoms (fractional coordinates):
1 Tc 0.0000 0.0000 0.5000
2 Ru 0.0000 0.5000 0.0000
3 Ru 0.5000 0.0000 0.0000
4 H 0.0000 0.0000 0.0000
5 Rh 0.5000 0.5000 0.5000

Summary:
* E above lowest polymorph: 0.04 eV/f.u.

# 13
VASP calculation (PBE) on Li2PuO5 after structural relaxation.

Lattice parameters (Å, degrees): 5.1336 8.0730 5.8302 65.41 63.88 71.46
Last column: magnetic moment on the atom in μB.
Atoms (fractional coordinates):
1 O 0.2766 0.1435 0.6179  0.01
2 O 0.1541 0.5336 0.5645  0.01
3 O 0.7445 0.3199 0.5949  0.01
4 O 0.5613 0.7472 0.5340  0.01
5 O 0.1576 0.2472 0.0340  0.01
6 O 0.9398 0.9236 0.5112  0.01
7 O 0.7479 0.0336 0.0645  0.01
8 O 0.3406 0.8199 0.0949  0.01
9 O 0.6254 0.4236 0.0112  0.01
10 O 0.9620 0.6435 0.1179  0.01
11 Li 0.3019 0.5418 0.8367  0.00
12 Li 0.5824 0.5252 0.2924  0.00
13 Li 0.6000 0.0252 0.7924  0.00
14 Li 0.3196 0.0418 0.3367  0.00
15 Pu 0.9510 0.2836 0.8145  -0.08
16 Pu 0.9509 0.7836 0.3145  -0.08

Summary:
* formation energy without anion corrections: -2.041 eV per atom

# 14
VASP calculation (PBE) on Be2Au2S after structural relaxation.

Lattice parameters (Å, degrees): 7.1238 7.1238 2.8303 90.00 90.00 90.00
Atoms (fractional coordinates):
1 Au 0.3505 0.8505 0.0000
2 Au 0.8505 0.6495 0.0000
3 Au 0.1495 0.3505 0.0000
4 Au 0.6495 0.1495 0.0000
5 Be 0.3584 0.1416 0.5000
6 Be 0.8584 0.3584 0.5000
7 Be 0.1416 0.6416 0.5000
8 Be 0.6416 0.8584 0.5000
9 S 0.5000 0.5000 0.0000
10 S 0.0000 0.0000 0.0000

Summary:
* formation energy without anion corrections: 0.186 eV per atom

# 15
VASP calculation (PBE) on Ca2Ir after structural relaxation.

Lattice parameters (Å, degrees): 4.8221 4.8221 3.5070 90.00 90.00 120.00
Atoms (fractional coordinates):
1 Ca 0.3333 0.6667 0.7161
2 Ca 0.6667 0.3333 0.2839
3 Ir 0.0000 0.0000 0.0000

Summary:
* formation energy: -68.1 meV per atom

# 16
VASP calculation (PBE) on PtSe2BrN after structural relaxation.

Lattice parameters (Å, degrees): 4.5043 4.5043 4.3243 90.00 90.00 90.00
Atoms (fractional coordinates):
1 Pt 0.5000 0.5000 0.5000
2 Se 0.5000 0.0000 0.0000
3 Se 0.0000 0.5000 0.0000
4 Br 0.0000 0.0000 0.5000
5 N 0.0000 0.0000 0.0000

Summary:
* formation energy without anion corrections: 1.284 eV per atom
* E above lowest polymorph: 2.73 eV/f.u.

# 17
VASP calculation (PBE) on K2HgF after structural relaxation.

Lattice parameters (Å, degrees): 7.8964 7.8964 7.2940 57.23 57.23 90.00
Atoms (fractional coordinates):
1 F 0.2500 0.7500 0.5000
2 F 0.5000 0.5000 0.0000
3 K 0.3750 0.4903 0.7500
4 K 0.5097 0.1250 0.2500
5 K 0.2403 0.6250 0.2500
6 K 0.8750 0.7597 0.7500
7 Hg 0.7500 0.2500 0.5000
8 Hg 0.0000 0.0000 0.0000

Summary:
* formation energy without anion corrections: -1.354 eV per atom
* E above lowest polymorph: 0.13 eV/f.u.

# 18
VASP calculation (PBE) on FeReSe after structural relaxation.

Lattice parameters (Å, degrees): 4.4691 4.0828 5.8850 90.00 90.00 123.18
Last column: magnetic moment on the atom in μB.
Atoms (fractional coordinates):
1 Re 0.7762 0.5524 0.2500  0.00
2 Re 0.7762 0.5524 0.7500  0.00
3 Fe 0.4264 0.8528 0.0000  2.50
4 Fe 0.4264 0.8528 0.5000  2.50
5 Se 0.1307 0.2614 0.7500  0.01
6 Se 0.1307 0.2614 0.2500  0.01

Summary:
* formation energy without anion corrections: 0.486 eV per atom
* E above lowest polymorph: 0.29 eV/f.u.

# 19
VASP calculation (PBE) on Zn2TcMo after structural relaxation.

Lattice parameters (Å, degrees): 3.2434 4.1618 4.3669 90.00 90.00 90.00
Atoms (fractional coordinates):
1 Zn 0.5000 0.5000 0.0000
2 Zn 0.0000 0.0000 0.0000
3 Tc 0.0000 0.5000 0.5000
4 Mo 0.5000 0.0000 0.5000

Summary:
* formation energy: 126.7 meV per atom
* E above lowest polymorph: 0.37 eV/f.u.

# 20
VASP calculation (PBE) on Hf4In2Bi5 after structural relaxation.

Lattice parameters (Å, degrees): 3.2615 8.1217 12.1924 105.99 97.69 90.00
Atoms (fractional coordinates):
1 Bi 0.1699 0.4186 0.3399
2 Bi 0.1602 0.9578 0.3204
3 Bi 0.8301 0.5814 0.6601
4 Bi 0.8398 0.0422 0.6796
5 Bi 0.5000 0.0000 0.0000
6 Hf 0.7302 0.7526 0.4605
7 Hf 0.9586 0.6699 0.9172
8 Hf 0.2698 0.2474 0.5395
9 Hf 0.0414 0.3301 0.0828
10 In 0.4335 0.3423 0.8669
11 In 0.5665 0.6577 0.1331

Summary:
* formation energy: 112.4 meV per atom

# 21
VASP calculation (PBE) on CoOsRh6 after structural relaxation.

Lattice parameters (Å, degrees): 3.8181 5.3890 5.3890 90.00 90.00 90.00
Last column: magnetic moment on the atom in μB.
Atoms (fractional coordinates):
1 Rh 0.0000 0.2501 0.7499  0.14
2 Rh 0.0000 0.7499 0.2501  0.14
3 Rh 0.5000 0.5000 0.0000  0.17
4 Rh 0.0000 0.7499 0.7499  0.14
5 Rh 0.0000 0.2501 0.2501  0.14
6 Rh 0.5000 0.0000 0.5000  0.17
7 Os 0.5000 0.5000 0.5000  -0.24
8 Co 0.5000 0.0000 0.0000  1.82

Summary:
* formation energy: 35.3 meV per atom

| no. | DFT total energy (eV per atom) | size of the total moment (Bohr magnetons per cell) |
| --- | --- | --- |
| 1 | -8.813 | 0.00 |
| 2 | -3.093 | 4.72 |
| 3 | -8.360 | 0.00 |
| 4 | -7.266 | 11.03 |
| 5 | -4.062 | 0.00 |
| 6 | -4.397 | 0.00 |
| 7 | -5.062 | 3.34 |
| 8 | -4.360 | 0.00 |
| 9 | -2.628 | 0.00 |
| 10 | -2.627 | 0.00 |
| 11 | -4.926 | 0.00 |
| 12 | -7.866 | 0.00 |
| 13 | -7.410 | 0.09 |
| 14 | -3.441 | 0.00 |
| 15 | -4.356 | 0.00 |
| 16 | -3.317 | 0.00 |
| 17 | -2.446 | 0.00 |
| 18 | -7.645 | 5.04 |
| 19 | -5.810 | 0.00 |
| 20 | -5.769 | 0.00 |
| 21 | -7.770 | 2.42 |